Material: CdHgP2
Method: DFT, PBE
State: optimized geometry Values from VASP.

Geometry as Quantum ESPRESSO input:
```
&SYSTEM
  ibrav = 0, nat = 4, ntyp = 3
/
ATOMIC_SPECIES
Cd 112.41 Cd.upf
Hg 200.59 Hg.upf
P 30.97 P.upf
CELL_PARAMETERS angstrom
-2.177 2.177 4.157
2.177 -2.177 4.157
2.177 2.177 -4.157
ATOMIC_POSITIONS angstrom
Cd 0.000 0.000 0.000
Hg 2.177 0.000 2.079
P 0.000 0.000 4.157
P 0.000 2.177 2.079
```

Computed properties:
E above lowest polymorph ... 560.5 meV/atom
Crystal system ... tetragonal
Space group ... I-4m2 (119)
Energy relative to the elements ... 59 kJ per mole of atoms
Magnetization ... 0.000 μB per atom